First-principles (GGA-PBE) data for crystalline NaHg2BiPd at its relaxed geometry, as listed in Alexandria.

Final energy ... -2.26 eV per atom
Formation energy from the elements ... -57 meV/atom
Magnetic moment ... 0.00 μB/atom
Symmetry ... P4/mmm (123)

Structure (CIF):
```
data_NaHg2BiPd
_symmetry_space_group_name_H-M 'P 1'
_symmetry_Int_Tables_number 1
_cell_length_a 5.3098
_cell_length_b 5.3098
_cell_length_c 5.3850
_cell_angle_alpha 90.00
_cell_angle_beta 90.00
_cell_angle_gamma 90.00
loop_
_symmetry_equiv_pos_as_xyz
'x,y,z'
loop_
_atom_site_label
_atom_site_type_symbol
_atom_site_fract_x
_atom_site_fract_y
_atom_site_fract_z
Na1 Na 0.0000 0.0000 0.0000
Hg1 Hg 0.0000 0.5000 0.5000
Hg2 Hg 0.5000 0.0000 0.5000
Bi1 Bi 0.5000 0.5000 0.0000
Pd1 Pd 0.5000 0.5000 0.5000
```